[1]
# La2Cd4NiPt PBE relaxed
# **E_tot**: -29.3 eV/cell
# **Total moment**: 0.00 μB per formula unit
# **Space-group type**: No. 38
data_La2Cd4NiPt
_cell_length_a 8.467
_cell_length_b 5.457
_cell_length_c 5.457
_cell_angle_alpha 46.15
_cell_angle_beta 90.00
_cell_angle_gamma 90.00
_space_group_name_H-M_alt 'P 1'
_space_group_IT_number 1
_space_group_name_Hall 'P 1'
loop_
_atom_site_label
_atom_site_fract_x
_atom_site_fract_y
_atom_site_fract_z
La1 0.000 0.434 0.434
Ni1 0.500 0.280 0.280
Pt1 0.000 0.723 0.723
Cd1 0.308 0.854 0.854
Cd2 0.790 0.146 0.146
La2 0.500 0.563 0.563
Cd3 0.692 0.854 0.854
Cd4 0.210 0.146 0.146

***

[2]
# Y2Zr4Cu3C3 PBE relaxed
# **E_tot**: -181.3 eV/cell
# **Total moment**: 0.24 μB per formula unit
# **Space-group type**: No. 15
data_Y2Zr4Cu3C3
_cell_length_a 5.847
_cell_length_b 5.847
_cell_length_c 14.295
_cell_angle_alpha 102.42
_cell_angle_beta 102.42
_cell_angle_gamma 60.04
_space_group_name_H-M_alt 'P 1'
_space_group_IT_number 1
_space_group_name_Hall 'P 1'
loop_
_atom_site_label
_atom_site_fract_x
_atom_site_fract_y
_atom_site_fract_z
Zr1 0.204 0.022 0.087
Cu1 0.414 0.087 0.750
Cu2 0.087 0.414 0.250
C1 0.673 0.155 0.500
C2 0.000 0.500 0.500
Y1 0.623 0.460 0.386
Y2 0.377 0.540 0.614
C3 0.155 0.673 0.000
Cu3 0.916 0.084 0.750
Y3 0.460 0.623 0.886
Zr2 0.022 0.204 0.587
Zr3 0.305 0.144 0.413
Zr4 0.978 0.796 0.413
Zr5 0.796 0.978 0.913
C4 0.845 0.327 0.000
Cu4 0.084 0.916 0.250
Cu5 0.913 0.586 0.750
Zr6 0.695 0.856 0.587
Zr7 0.856 0.695 0.087
Y4 0.540 0.377 0.114
Zr8 0.144 0.305 0.913
Cu6 0.586 0.913 0.250
C5 0.500 0.000 0.000
C6 0.327 0.845 0.500

***

[3]
# SmB4Pb PBE relaxed
# **Offset from the most stable computed form**: 0 meV/atom
# **Total moment**: 0.00 μB per formula unit
# **Space-group type**: No. 71
data_SmB4Pb
_cell_length_a 5.399
_cell_length_b 5.399
_cell_length_c 5.399
_cell_angle_alpha 144.95
_cell_angle_beta 119.71
_cell_angle_gamma 71.68
_space_group_name_H-M_alt 'P 1'
_space_group_IT_number 1
_space_group_name_Hall 'P 1'
loop_
_atom_site_label
_atom_site_fract_x
_atom_site_fract_y
_atom_site_fract_z
B1 0.085 0.758 0.328
Pb1 0.000 0.000 0.000
B2 0.570 0.242 0.328
B3 0.915 0.242 0.672
Sm1 0.500 0.500 0.000
B4 0.430 0.758 0.672

***

[4]
# NdGd2Cd3Au3 PBE relaxed
# **E_tot**: -32.5 eV/cell
# **Total moment**: 0.02 μB per formula unit
# **Space-group type**: No. 38
data_NdGd2Cd3Au3
_cell_length_a 3.973
_cell_length_b 7.880
_cell_length_c 7.880
_cell_angle_alpha 120.22
_cell_angle_beta 90.00
_cell_angle_gamma 90.00
_space_group_name_H-M_alt 'P 1'
_space_group_IT_number 1
_space_group_name_Hall 'P 1'
loop_
_atom_site_label
_atom_site_fract_x
_atom_site_fract_y
_atom_site_fract_z
Gd1 0.000 0.000 0.405
Gd2 0.000 0.405 0.000
Cd1 0.500 0.259 0.259
Au1 0.500 0.330 0.668
Au2 0.500 0.668 0.330
Cd2 0.500 0.002 0.740
Cd3 0.500 0.740 0.002
Nd1 0.000 0.595 0.595
Au3 0.000 0.002 0.002

***

[5]
# LuPuZr PBE relaxed
# **Offset from the most stable computed form**: 0 meV/atom
# **Total moment**: 6.29 μB per formula unit
# **Space-group type**: No. 216
data_LuPuZr
_cell_length_a 5.074
_cell_length_b 5.074
_cell_length_c 5.074
_cell_angle_alpha 60.00
_cell_angle_beta 60.00
_cell_angle_gamma 60.00
_space_group_name_H-M_alt 'P 1'
_space_group_IT_number 1
_space_group_name_Hall 'P 1'
loop_
_atom_site_label
_atom_site_fract_x
_atom_site_fract_y
_atom_site_fract_z
Pu1 0.750 0.750 0.750
Lu1 0.250 0.250 0.250
Zr1 0.000 0.000 0.000

***

[6]
# PmTlAg PBE relaxed
# **Offset from the most stable computed form**: 103 meV/atom
# **Total moment**: 0.01 μB per formula unit
# **Space-group type**: No. 216
data_PmTlAg
_cell_length_a 4.902
_cell_length_b 4.902
_cell_length_c 4.902
_cell_angle_alpha 60.00
_cell_angle_beta 60.00
_cell_angle_gamma 60.00
_space_group_name_H-M_alt 'P 1'
_space_group_IT_number 1
_space_group_name_Hall 'P 1'
loop_
_atom_site_label
_atom_site_fract_x
_atom_site_fract_y
_atom_site_fract_z
Pm1 0.250 0.250 0.250
Tl1 0.750 0.750 0.750
Ag1 0.000 0.000 0.000

***

[7]
# LiCd PBE relaxed
# **E_tot**: -3.1 eV/cell
# **Space-group type**: No. 187
data_LiCd
_cell_length_a 3.036
_cell_length_b 3.036
_cell_length_c 4.748
_cell_angle_alpha 90.00
_cell_angle_beta 90.00
_cell_angle_gamma 120.00
_space_group_name_H-M_alt 'P 1'
_space_group_IT_number 1
_space_group_name_Hall 'P 1'
loop_
_atom_site_label
_atom_site_fract_x
_atom_site_fract_y
_atom_site_fract_z
Li1 0.333 0.667 0.250
Cd1 0.667 0.333 0.750

***

[8]
# Tm5Co2 PBE relaxed
# **E_tot**: -76.2 eV/cell
# **Total moment**: 0.00 μB per formula unit
# **Space-group type**: No. 15
data_Tm5Co2
_cell_length_a 8.375
_cell_length_b 8.375
_cell_length_c 6.853
_cell_angle_alpha 96.35
_cell_angle_beta 96.35
_cell_angle_gamma 43.41
_space_group_name_H-M_alt 'P 1'
_space_group_IT_number 1
_space_group_name_Hall 'P 1'
loop_
_atom_site_label
_atom_site_fract_x
_atom_site_fract_y
_atom_site_fract_z
Co1 0.398 0.824 0.072
Co2 0.602 0.176 0.928
Tm1 0.203 0.986 0.413
Tm2 0.648 0.785 0.816
Tm3 0.571 0.429 0.250
Tm4 0.785 0.648 0.316
Tm5 0.429 0.571 0.750
Tm6 0.014 0.797 0.087
Tm7 0.797 0.014 0.587
Tm8 0.352 0.215 0.184
Tm9 0.215 0.352 0.684
Co3 0.176 0.602 0.428
Co4 0.824 0.398 0.572
Tm10 0.986 0.203 0.913

***

[9]
# HfBeSi PBE relaxed
# **Offset from the most stable computed form**: 0 meV/atom
# **Total moment**: 0.00 μB per formula unit
# **Space-group type**: No. 194
data_HfBeSi
_cell_length_a 3.704
_cell_length_b 3.704
_cell_length_c 7.129
_cell_angle_alpha 90.00
_cell_angle_beta 90.00
_cell_angle_gamma 120.00
_space_group_name_H-M_alt 'P 1'
_space_group_IT_number 1
_space_group_name_Hall 'P 1'
loop_
_atom_site_label
_atom_site_fract_x
_atom_site_fract_y
_atom_site_fract_z
Si1 0.333 0.667 0.250
Be1 0.333 0.667 0.750
Si2 0.667 0.333 0.750
Hf1 0.000 0.000 0.500
Hf2 0.000 0.000 0.000
Be2 0.667 0.333 0.250

***

[10]
# P2PdO6 PBE relaxed
# **E_tot**: -58.6 eV/cell
# **Space-group type**: No. 162
data_P2PdO6
_cell_length_a 4.543
_cell_length_b 4.543
_cell_length_c 4.655
_cell_angle_alpha 90.00
_cell_angle_beta 90.00
_cell_angle_gamma 120.00
_space_group_name_H-M_alt 'P 1'
_space_group_IT_number 1
_space_group_name_Hall 'P 1'
loop_
_atom_site_label
_atom_site_fract_x
_atom_site_fract_y
_atom_site_fract_z
O1 0.622 0.000 0.702
P1 0.333 0.667 0.500
O2 0.622 0.622 0.298
O3 0.000 0.378 0.298
Pd1 0.000 0.000 0.000
O4 0.378 0.000 0.298
P2 0.667 0.333 0.500
O5 0.000 0.622 0.702
O6 0.378 0.378 0.702

***

[11]
# LuNbCu PBE relaxed
# **Offset from the most stable computed form**: 0 meV/atom
# **Total moment**: 0.70 μB per formula unit
# **Space-group type**: No. 216
data_LuNbCu
_cell_length_a 4.455
_cell_length_b 4.455
_cell_length_c 4.455
_cell_angle_alpha 60.00
_cell_angle_beta 60.00
_cell_angle_gamma 60.00
_space_group_name_H-M_alt 'P 1'
_space_group_IT_number 1
_space_group_name_Hall 'P 1'
loop_
_atom_site_label
_atom_site_fract_x
_atom_site_fract_y
_atom_site_fract_z
Nb1 0.750 0.750 0.750
Lu1 0.250 0.250 0.250
Cu1 0.000 0.000 0.000

***

[12]
# LuBiPt PBE relaxed
# **E_tot**: -33.2 eV/cell
# **Total moment**: 0.01 μB per formula unit
# **Space-group type**: No. 194
data_LuBiPt
_cell_length_a 4.820
_cell_length_b 4.820
_cell_length_c 6.737
_cell_angle_alpha 90.00
_cell_angle_beta 90.00
_cell_angle_gamma 120.00
_space_group_name_H-M_alt 'P 1'
_space_group_IT_number 1
_space_group_name_Hall 'P 1'
loop_
_atom_site_label
_atom_site_fract_x
_atom_site_fract_y
_atom_site_fract_z
Pt1 0.667 0.333 0.250
Bi1 0.667 0.333 0.750
Pt2 0.333 0.667 0.750
Lu1 0.000 0.000 0.000
Bi2 0.333 0.667 0.250
Lu2 0.000 0.000 0.500

***

| no. | calculated volume (A^3/atom) |
| --- | --- |
| 1 | 22.7 |
| 2 | 17.1 |
| 3 | 12.9 |
| 4 | 23.7 |
| 5 | 30.8 |
| 6 | 27.8 |
| 7 | 18.9 |
| 8 | 23.4 |
| 9 | 14.1 |
| 10 | 9.2 |
| 11 | 20.8 |
| 12 | 22.6 |